Record 1
DFT (PBEsol) results for a relaxed Sc2BiBr crystal. Values from VASP.

volume = 405.2 Å³ per cell
energy relative to the elements, uncorrected = -0.6286 eV per atom
density of states at the Fermi level = 9.03 states/eV per cell
total DFT energy (no corrections) = -5.470 eV per atom
mass density = 4.66 g/cm³

Structure (Quantum ESPRESSO input):
```
&SYSTEM
  ibrav = 0, nat = 12, ntyp = 3
/
ATOMIC_SPECIES
Sc 44.96 Sc.upf
Bi 208.98 Bi.upf
Br 79.90 Br.upf
CELL_PARAMETERS angstrom
4.549 0.000 0.000
-2.275 3.940 0.000
0.000 0.000 22.610
ATOMIC_POSITIONS crystal
Sc 0.000 0.000 0.115
Sc 0.000 0.000 0.885
Sc 0.333 0.667 0.552
Sc 0.333 0.667 0.781
Sc 0.667 0.333 0.219
Sc 0.667 0.333 0.448
Bi 0.000 0.000 0.500
Bi 0.333 0.667 0.167
Bi 0.667 0.333 0.833
Br 0.000 0.000 0.000
Br 0.333 0.667 0.667
Br 0.667 0.333 0.333
```



Record 2
DFT (PBEsol) results for a relaxed Zn2FeSe crystal. Values from VASP.

volume = 179.6 Å³ per cell
energy relative to the elements, uncorrected = 0.0518 eV per atom
density of states at the Fermi level = 5.41 states/eV per cell
total DFT energy (no corrections) = -3.943 eV per atom
mass density = 7.37 g/cm³

Structure (Quantum ESPRESSO input):
```
&SYSTEM
  ibrav = 0, nat = 12, ntyp = 3
/
ATOMIC_SPECIES
Zn 65.41 Zn.upf
Fe 55.84 Fe.upf
Se 78.96 Se.upf
CELL_PARAMETERS angstrom
2.972 0.000 0.000
-1.486 2.574 0.000
0.000 0.000 23.478
ATOMIC_POSITIONS crystal
Zn 0.000 0.000 0.000
Zn 0.000 0.000 0.248
Zn 0.333 0.667 0.667
Zn 0.333 0.667 0.915
Zn 0.667 0.333 0.333
Zn 0.667 0.333 0.582
Fe 0.000 0.000 0.747
Fe 0.333 0.667 0.414
Fe 0.667 0.333 0.080
Se 0.000 0.000 0.478
Se 0.333 0.667 0.145
Se 0.667 0.333 0.811
```



Record 3
DFT (PBEsol) results for a relaxed Li2AlSi crystal. Values from VASP.

volume = 59.1 Å³ per cell
energy relative to the elements, uncorrected = -0.1617 eV per atom
density of states at the Fermi level = 1.06 states/eV per cell
total DFT energy (no corrections) = -3.605 eV per atom
mass density = 1.94 g/cm³

Structure (Quantum ESPRESSO input):
```
&SYSTEM
  ibrav = 0, nat = 4, ntyp = 3
/
ATOMIC_SPECIES
Li 6.94 Li.upf
Al 26.98 Al.upf
Si 28.09 Si.upf
CELL_PARAMETERS angstrom
2.687 0.000 0.000
0.000 4.085 0.000
0.000 0.000 5.382
ATOMIC_POSITIONS crystal
Li 0.000 0.000 0.235
Li 0.000 0.000 0.765
Al 0.500 0.500 0.500
Si 0.500 0.500 0.000
```



Record 4
DFT (PBEsol) results for a relaxed KReI2O crystal. Values from VASP.

volume = 123.7 Å³ per cell
energy relative to the elements, uncorrected = -0.5655 eV per atom
density of states at the Fermi level = 4.80 states/eV per cell
total DFT energy (no corrections) = -5.215 eV per atom
mass density = 6.65 g/cm³

Structure (Quantum ESPRESSO input):
```
&SYSTEM
  ibrav = 0, nat = 5, ntyp = 4
/
ATOMIC_SPECIES
K 39.10 K.upf
Re 186.21 Re.upf
I 126.90 I.upf
O 16.00 O.upf
CELL_PARAMETERS angstrom
5.709 0.000 0.000
0.000 5.709 0.000
0.000 0.000 3.794
ATOMIC_POSITIONS crystal
K 0.000 0.000 0.000
Re 0.500 0.500 0.500
I 0.000 0.500 0.500
I 0.500 0.000 0.500
O 0.500 0.500 0.000
```



Which of these has the highest volume? Sc2BiBr